A plane-wave DFT calculation with PBE was carried out for a relaxed structure of KGaSO5.

Output
formation energy without anion corrections: -1.6316 eV/atom
Fermi-level density of states: 0.00 states/eV per atom
calculated volume: 422.3 Å³/cell

a = 7.162 Å, b = 9.411 Å, c = 6.736 Å
α = 90.00°, β = 111.54°, γ = 90.00°
Space group C2/c (No. 15)
Asymmetric unit:
K (0.000, 0.155, 0.250) (multiplicity 4)
Ga (0.000, 0.500, 0.000) (multiplicity 4)
S (0.000, 0.198, 0.750) (multiplicity 4)
O (0.000, 0.434, 0.250) (multiplicity 4)
O (0.092, 0.291, 0.628) (multiplicity 8)
O (0.158, 0.107, 0.902) (multiplicity 8)